Entry from Alexandria via LeMat-Bulk: crystalline PrY2Ga at its relaxed geometry (GGA-PBE).

Cell and atoms, written as CIF:
```
data_PrY2Ga
_symmetry_space_group_name_H-M 'C m c m'
_symmetry_Int_Tables_number 63
_symmetry_space_group_name_Hall '-C 2c 2'
_cell_length_a 4.307
_cell_length_b 12.384
_cell_length_c 8.969
_cell_angle_alpha 90.00
_cell_angle_beta 90.00
_cell_angle_gamma 90.00
loop_
_atom_site_label
_atom_site_type_symbol
_atom_site_fract_x
_atom_site_fract_y
_atom_site_fract_z
_atom_site_occupancy
Pr1 Pr 0.000 0.062 0.250 1
Y1 Y 0.000 0.356 0.055 1
Ga1 Ga 0.000 0.247 0.750 1
```

Summary:
Relative energy among the computed polymorphs: 3.6 kJ per mole of atoms
Energy: -5.446 eV per atom
Formation energy from the elements: -0.262 eV/atom
Magnetization: 0.01 μB per cell

Entry from Alexandria via LeMat-Bulk: crystalline Sm2Pu3Ge4 at its relaxed geometry (GGA-PBE).

Cell and atoms, written as CIF:
```
data_Sm2Pu3Ge4
_symmetry_space_group_name_H-M 'P 1 21/c 1'
_symmetry_Int_Tables_number 14
_symmetry_space_group_name_Hall '-P 2ybc'
_cell_length_a 7.841
_cell_length_b 7.869
_cell_length_c 7.515
_cell_angle_alpha 90.00
_cell_angle_beta 108.49
_cell_angle_gamma 90.00
loop_
_atom_site_label
_atom_site_type_symbol
_atom_site_fract_x
_atom_site_fract_y
_atom_site_fract_z
_atom_site_occupancy
Sm1 Sm 0.188 0.180 0.068 1
Pu1 Pu 0.252 0.685 0.244 1
Pu2 Pu 0.500 0.000 0.500 1
Ge1 Ge 0.073 0.531 0.855 1
Ge2 Ge 0.482 0.123 0.872 1
```

Summary:
Energy: -8.430 eV per atom
Formation energy from the elements: -0.552 eV/atom
Magnetization: 12.01 μB per cell

Entry from Alexandria via LeMat-Bulk: crystalline KCr2In at its relaxed geometry (GGA-PBE).

Cell and atoms, written as CIF:
```
data_KCr2In
_symmetry_space_group_name_H-M 'C 1 m 1'
_symmetry_Int_Tables_number 8
_symmetry_space_group_name_Hall 'C -2y'
_cell_length_a 8.425
_cell_length_b 3.062
_cell_length_c 8.020
_cell_angle_alpha 90.00
_cell_angle_beta 95.49
_cell_angle_gamma 90.00
loop_
_atom_site_label
_atom_site_type_symbol
_atom_site_fract_x
_atom_site_fract_y
_atom_site_fract_z
_atom_site_occupancy
K1 K 0.000 0.000 0.000 1
Cr1 Cr 0.005 0.500 0.577 1
Cr2 Cr 0.231 0.000 0.656 1
In1 In 0.263 0.500 0.347 1
```

Summary:
Energy: -5.144 eV per atom
Formation energy from the elements: 0.626 eV/atom
Magnetization: 0.20 μB per cell

Entry from Alexandria via LeMat-Bulk: crystalline Rb3Li2BiF9 at its relaxed geometry (GGA-PBE).

Cell and atoms, written as CIF:
```
data_Rb3Li2BiF9
_symmetry_space_group_name_H-M 'P -3 m 1'
_symmetry_Int_Tables_number 164
_symmetry_space_group_name_Hall '-P 3 2"'
_cell_length_a 6.0857
_cell_length_b 6.0857
_cell_length_c 7.9317
_cell_angle_alpha 90.00
_cell_angle_beta 90.00
_cell_angle_gamma 120.00
loop_
_atom_site_label
_atom_site_type_symbol
_atom_site_fract_x
_atom_site_fract_y
_atom_site_fract_z
_atom_site_occupancy
Rb1 Rb 0.0000 0.0000 0.0000 1
Rb2 Rb 0.3333 0.6667 0.7127 1
Li1 Li 0.3333 0.6667 0.0995 1
Bi1 Bi 0.0000 0.0000 0.5000 1
F1 F 0.0000 0.5000 0.0000 1
F2 F 0.1656 0.3313 0.3387 1
```

Summary:
Energy: -4.419 eV per atom
Formation energy (no corrections): -2.5886 eV/atom
Magnetization: 0.78 μB per cell

Entry from Alexandria via LeMat-Bulk: crystalline Sr2HoTc3O12 at its relaxed geometry (GGA-PBE).

Cell and atoms, written as CIF:
```
data_Sr2HoTc3O12
_symmetry_space_group_name_H-M 'R -3 m'
_symmetry_Int_Tables_number 166
_symmetry_space_group_name_Hall '-R 3 2"'
_cell_length_a 7.3872
_cell_length_b 7.3872
_cell_length_c 15.5091
_cell_angle_alpha 90.00
_cell_angle_beta 90.00
_cell_angle_gamma 120.00
loop_
_atom_site_label
_atom_site_type_symbol
_atom_site_fract_x
_atom_site_fract_y
_atom_site_fract_z
_atom_site_occupancy
Sr1 Sr 0.0000 0.0000 0.1180 1
Ho1 Ho 0.0000 0.0000 0.5000 1
Tc1 Tc 0.0000 0.5000 0.0000 1
O1 O 0.0331 0.5166 0.8796 1
O2 O 0.0793 0.5396 0.3170 1
```

Summary:
Energy: -7.412 eV per atom
Formation energy (no corrections): -1.9380 eV/atom
Magnetization: 2.35 μB per cell

Entry from Alexandria via LeMat-Bulk: crystalline Ce3Al2I2 at its relaxed geometry (GGA-PBE).

Cell and atoms, written as CIF:
```
data_Ce3Al2I2
_symmetry_space_group_name_H-M 'C 1 2/m 1'
_symmetry_Int_Tables_number 12
_symmetry_space_group_name_Hall '-C 2y'
_cell_length_a 19.555
_cell_length_b 4.215
_cell_length_c 12.052
_cell_angle_alpha 90.00
_cell_angle_beta 122.21
_cell_angle_gamma 90.00
loop_
_atom_site_label
_atom_site_type_symbol
_atom_site_fract_x
_atom_site_fract_y
_atom_site_fract_z
_atom_site_occupancy
Ce1 Ce 0.033 0.000 0.190 1
Ce2 Ce 0.194 0.500 0.929 1
Ce3 Ce 0.249 0.500 0.310 1
Al1 Al 0.073 0.500 0.033 1
Al2 Al 0.160 0.000 0.098 1
I1 I 0.084 0.000 0.691 1
I2 I 0.138 0.500 0.439 1
```

Summary:
Energy: -4.739 eV per atom
Formation energy (no corrections): -0.6836 eV/atom
Magnetization: 10.64 μB per cell